Entry 1:
{
  "formula": "Ba2SbPt2",
  "functional": "PBE",
  "state": "relaxed",
  "de_polymorph_kcal_per_mol_atoms": 0.00,
  "sg": "No. 15",
  "n_ef_per_ev_atom": 0.689,
  "raw_formation_energy_ev_per_atom": -0.8284,
  "total_energy_ev_per_cell": -48.4,
  "cell": [[5.293, -3.122, 0.000], [5.293, 3.122, 0.000], [-2.107, 0.000, 8.517]],
  "species": ["Ba", "Ba", "Ba", "Ba", "Sb", "Sb", "Pt", "Pt", "Pt", "Pt"],
  "frac_coords": [[0.010, 0.286, 0.149], [0.286, 0.010, 0.649], [0.714, 0.990, 0.351], [0.990, 0.714, 0.851], [0.369, 0.631, 0.250], [0.631, 0.369, 0.750], [0.231, 0.493, 0.510], [0.493, 0.231, 0.010], [0.507, 0.769, 0.990], [0.769, 0.507, 0.490]]
}

***

Entry 2:
{
  "formula": "BaSb2Pt",
  "functional": "PBE",
  "state": "relaxed",
  "sg": "No. 65",
  "n_ef_per_ev_atom": 1.004,
  "raw_formation_energy_ev_per_atom": -0.3619,
  "total_energy_ev_per_cell": -17.7,
  "cell": [[2.244, -3.185, 0.000], [2.244, 3.185, 0.000], [0.000, 0.000, 8.065]],
  "species": ["Ba", "Sb", "Sb", "Pt"],
  "frac_coords": [[0.000, 0.000, 0.000], [0.500, 0.500, 0.311], [0.500, 0.500, 0.689], [0.000, 0.000, 0.500]]
}

***

Entry 3:
{
  "formula": "BaSb4Pt5",
  "functional": "PBE",
  "state": "relaxed",
  "sg": "No. 11",
  "n_ef_per_ev_atom": 0.528,
  "raw_formation_energy_ev_per_atom": -0.4528,
  "total_energy_ev_per_cell": -106.3,
  "cell": [[4.636, 0.000, 0.000], [0.000, 7.889, 0.000], [-0.007, 0.000, 12.635]],
  "species": ["Ba", "Ba", "Sb", "Sb", "Sb", "Sb", "Sb", "Sb", "Sb", "Sb", "Pt", "Pt", "Pt", "Pt", "Pt", "Pt", "Pt", "Pt", "Pt", "Pt"],
  "frac_coords": [[0.012, 0.250, 0.250], [0.988, 0.750, 0.750], [0.244, 0.750, 0.028], [0.244, 0.750, 0.472], [0.497, 0.052, 0.750], [0.497, 0.448, 0.750], [0.503, 0.552, 0.250], [0.503, 0.948, 0.250], [0.756, 0.250, 0.528], [0.756, 0.250, 0.972], [0.014, 0.750, 0.250], [0.245, 0.058, 0.561], [0.245, 0.058, 0.939], [0.245, 0.442, 0.561], [0.245, 0.442, 0.939], [0.755, 0.558, 0.061], [0.755, 0.558, 0.439], [0.755, 0.942, 0.061], [0.755, 0.942, 0.439], [0.986, 0.250, 0.750]]
}

***

Entry 4:
{
  "formula": "Ba2SbPt",
  "functional": "PBE",
  "state": "relaxed",
  "sg": "No. 11",
  "n_ef_per_ev_atom": 0.648,
  "raw_formation_energy_ev_per_atom": -0.8316,
  "total_energy_ev_per_cell": -34.7,
  "cell": [[6.640, 0.000, 0.000], [0.000, 4.830, 0.000], [-3.067, 0.000, 8.889]],
  "species": ["Ba", "Ba", "Ba", "Ba", "Sb", "Sb", "Pt", "Pt"],
  "frac_coords": [[0.188, 0.250, 0.415], [0.278, 0.750, 0.057], [0.722, 0.250, 0.943], [0.812, 0.750, 0.585], [0.360, 0.750, 0.712], [0.640, 0.250, 0.288], [0.197, 0.250, 0.774], [0.803, 0.750, 0.226]]
}

***

Entry 5:
{
  "formula": "BaSb2Pt",
  "functional": "PBE",
  "state": "relaxed",
  "sg": "No. 123",
  "n_ef_per_ev_atom": 1.020,
  "raw_formation_energy_ev_per_atom": -0.2333,
  "total_energy_ev_per_cell": -17.1,
  "cell": [[4.733, 0.000, 0.000], [0.000, 4.733, 0.000], [0.000, 0.000, 4.870]],
  "species": ["Ba", "Sb", "Sb", "Pt"],
  "frac_coords": [[0.000, 0.000, 0.000], [0.000, 0.500, 0.500], [0.500, 0.000, 0.500], [0.500, 0.500, 0.000]]
}

***

Entry 6:
{
  "formula": "Ba3Sb3Pt2",
  "functional": "PBE",
  "state": "relaxed",
  "de_polymorph_kcal_per_mol_atoms": 0.00,
  "sg": "No. 63",
  "n_ef_per_ev_atom": 0.331,
  "raw_formation_energy_ev_per_atom": -0.9379,
  "total_energy_ev_per_cell": -75.4,
  "cell": [[2.298, -6.323, 0.000], [2.298, 6.323, 0.000], [0.000, 0.000, 17.870]],
  "species": ["Ba", "Ba", "Ba", "Ba", "Ba", "Ba", "Sb", "Sb", "Sb", "Sb", "Sb", "Sb", "Pt", "Pt", "Pt", "Pt"],
  "frac_coords": [[0.057, 0.943, 0.750], [0.353, 0.647, 0.593], [0.353, 0.647, 0.907], [0.647, 0.353, 0.093], [0.647, 0.353, 0.407], [0.943, 0.057, 0.250], [0.084, 0.916, 0.558], [0.084, 0.916, 0.942], [0.232, 0.768, 0.250], [0.768, 0.232, 0.750], [0.916, 0.084, 0.058], [0.916, 0.084, 0.442], [0.357, 0.643, 0.126], [0.357, 0.643, 0.374], [0.643, 0.357, 0.626], [0.643, 0.357, 0.874]]
}

***

Entry 7:
{
  "formula": "Ba2SbPt",
  "functional": "PBE",
  "state": "relaxed",
  "sg": "No. 12",
  "n_ef_per_ev_atom": 0.652,
  "raw_formation_energy_ev_per_atom": -0.6685,
  "total_energy_ev_per_cell": -16.7,
  "cell": [[4.104, -2.224, 0.000], [4.104, 2.224, 0.000], [-2.449, 0.000, 8.494]],
  "species": ["Ba", "Ba", "Sb", "Pt"],
  "frac_coords": [[0.237, 0.237, 0.219], [0.763, 0.763, 0.781], [0.000, 0.000, 0.500], [0.500, 0.500, 0.000]]
}

***

Entry 8:
{
  "formula": "Ba2Sb3Pt2",
  "functional": "PBE",
  "state": "relaxed",
  "de_polymorph_kcal_per_mol_atoms": 0.67,
  "sg": "No. 63",
  "n_ef_per_ev_atom": 0.578,
  "raw_formation_energy_ev_per_atom": -0.6687,
  "total_energy_ev_per_cell": -65.9,
  "cell": [[2.180, -11.958, 0.000], [2.180, 11.958, 0.000], [0.000, 0.000, 8.441]],
  "species": ["Ba", "Ba", "Ba", "Ba", "Sb", "Sb", "Sb", "Sb", "Sb", "Sb", "Pt", "Pt", "Pt", "Pt"],
  "frac_coords": [[0.048, 0.952, 0.750], [0.183, 0.817, 0.250], [0.817, 0.183, 0.750], [0.952, 0.048, 0.250], [0.200, 0.800, 0.750], [0.429, 0.571, 0.585], [0.429, 0.571, 0.915], [0.571, 0.429, 0.085], [0.571, 0.429, 0.415], [0.800, 0.200, 0.250], [0.341, 0.659, 0.089], [0.341, 0.659, 0.411], [0.659, 0.341, 0.589], [0.659, 0.341, 0.911]]
}

***

Entry 9:
{
  "formula": "BaSb4Pt6",
  "functional": "PBE",
  "state": "relaxed",
  "sg": "No. 121",
  "n_ef_per_ev_atom": 0.574,
  "raw_formation_energy_ev_per_atom": -0.4603,
  "total_energy_ev_per_cell": -59.7,
  "cell": [[-3.531, 3.531, 4.959], [3.531, -3.531, 4.959], [3.531, 3.531, -4.959]],
  "species": ["Ba", "Sb", "Sb", "Sb", "Sb", "Pt", "Pt", "Pt", "Pt", "Pt", "Pt"],
  "frac_coords": [[0.000, 0.000, 0.000], [0.135, 0.548, 0.000], [0.452, 0.452, 0.587], [0.548, 0.135, 0.000], [0.865, 0.865, 0.413], [0.000, 0.500, 0.500], [0.223, 0.223, 0.675], [0.452, 0.777, 0.000], [0.500, 0.000, 0.500], [0.548, 0.548, 0.325], [0.777, 0.452, 0.000]]
}

***

Entry 10:
{
  "formula": "Ba2SiSbPt6",
  "functional": "PBE",
  "state": "relaxed",
  "sg": "No. 12",
  "n_ef_per_ev_atom": 0.395,
  "raw_formation_energy_ev_per_atom": -0.7150,
  "total_energy_ev_per_cell": -56.8,
  "cell": [[6.127, -2.900, 0.000], [6.127, 2.900, 0.000], [-5.120, 0.000, 6.494]],
  "species": ["Ba", "Ba", "Si", "Sb", "Pt", "Pt", "Pt", "Pt", "Pt", "Pt"],
  "frac_coords": [[0.249, 0.249, 0.190], [0.751, 0.751, 0.810], [0.000, 0.000, 0.500], [0.500, 0.500, 0.000], [0.207, 0.717, 0.700], [0.244, 0.244, 0.632], [0.283, 0.793, 0.300], [0.717, 0.207, 0.700], [0.756, 0.756, 0.368], [0.793, 0.283, 0.300]]
}

***

Entry 11:
{
  "formula": "BaSnSbPt2",
  "functional": "PBE",
  "state": "relaxed",
  "sg": "No. 123",
  "n_ef_per_ev_atom": 1.225,
  "raw_formation_energy_ev_per_atom": 1.3138,
  "total_energy_ev_per_cell": -15.6,
  "cell": [[5.335, 0.000, 0.000], [0.000, 5.335, 0.000], [0.000, 0.000, 6.195]],
  "species": ["Ba", "Sn", "Sb", "Pt", "Pt"],
  "frac_coords": [[0.000, 0.000, 0.000], [0.000, 0.000, 0.500], [0.500, 0.500, 0.500], [0.000, 0.500, 0.000], [0.500, 0.000, 0.000]]
}

***

Entry 12:
{
  "formula": "Ba2SnSb3Pt4",
  "functional": "PBE",
  "state": "relaxed",
  "sg": "No. 115",
  "n_ef_per_ev_atom": 0.689,
  "raw_formation_energy_ev_per_atom": -0.8054,
  "total_energy_ev_per_cell": -52.4,
  "cell": [[4.793, 0.000, 0.000], [0.000, 4.793, 0.000], [0.000, 0.000, 10.777]],
  "species": ["Ba", "Ba", "Sn", "Sb", "Sb", "Sb", "Pt", "Pt", "Pt", "Pt"],
  "frac_coords": [[0.000, 0.500, 0.244], [0.500, 0.000, 0.756], [0.000, 0.000, 0.500], [0.000, 0.500, 0.877], [0.500, 0.000, 0.123], [0.500, 0.500, 0.500], [0.000, 0.000, 0.000], [0.000, 0.500, 0.624], [0.500, 0.000, 0.376], [0.500, 0.500, 0.000]]
}